DFT (PBE with a Hubbard U) results for crystalline Sm4Mn6O19 at its relaxed geometry.

The structure in CIF format:
```
data_Sm4Mn6O19
_chemical_formula_sum 'Sm8 Mn12 O38'
_cell_length_a 8.702
_cell_length_b 8.702
_cell_length_c 8.702
_cell_angle_alpha 90.00
_cell_angle_beta 90.00
_cell_angle_gamma 90.00
_symmetry_space_group_name_H-M 'I 2 3'
_symmetry_Int_Tables_number 197
_symmetry_space_group_name_Hall 'I 2 2 3'
loop_
_atom_site_label
_atom_site_fract_x
_atom_site_fract_y
_atom_site_fract_z
Sm1 0.163 0.163 0.163
Mn1 0.000 0.161 0.500
O1 0.000 0.000 0.000
O2 0.000 0.000 0.350
O3 0.043 0.285 0.677
```

Computed properties:
D(E_F) ... 26.5 states/eV per cell
Raw total energy ... -7.483 eV/atom
Total magnetization ... 31.90 μB per cell